## La3Tb4Er (GGA-PBE)

Data for a relaxed La3Tb4Er crystal.

Lattice parameters (Å, degrees): 7.2433 10.2615 7.2184 90.00 90.00 90.00
Space group Pmmn (No. 59, origin choice 2)
One atom of each set of equivalent atoms:
La 0.0000 0.0000 0.0000 x4
La 0.2500 0.2500 0.2565 x2
Tb 0.0000 0.0000 0.5000 x4
Tb 0.2500 0.2500 0.7466 x2
Tb 0.2500 0.7500 0.7438 x2
Er 0.2500 0.7500 0.2553 x2

Results
**Energy relative to the elements**: 0.018 eV per atom
**DFT total energy**: -4.715 eV/atom